Version A
# Ta2BiI | Alexandria via LeMat-Bulk | PBE | optimized geometry
# - crystal system = tetragonal
# - symmetry = I-42d
data_Ta2BiI
_space_group_name_H-M_alt 'P 1'
_space_group_IT_number 1
_cell_length_a 4.552
_cell_length_b 4.552
_cell_length_c 19.126
_cell_angle_alpha 90.00
_cell_angle_beta 90.00
_cell_angle_gamma 90.00
loop_
_space_group_symop_operation_xyz
'x,y,z'
loop_
_atom_site_label
_atom_site_fract_x
_atom_site_fract_y
_atom_site_fract_z
_atom_site_occupancy
Ta1 0.219 0.250 0.125 1
Ta2 0.250 0.719 0.375 1
Ta3 0.250 0.781 0.875 1
Ta4 0.281 0.250 0.625 1
Ta5 0.719 0.750 0.625 1
Ta6 0.750 0.219 0.875 1
Ta7 0.750 0.281 0.375 1
Ta8 0.781 0.750 0.125 1
Bi1 0.000 0.000 0.500 1
Bi2 0.000 0.500 0.750 1
Bi3 0.500 0.000 0.250 1
Bi4 0.500 0.500 0.000 1
I1 0.000 0.000 0.000 1
I2 0.000 0.500 0.250 1
I3 0.500 0.000 0.750 1
I4 0.500 0.500 0.500 1

***

Version B
# Ta2BiI | Alexandria via LeMat-Bulk | PBE | optimized geometry
# - crystal system = cubic
# - symmetry = Fm-3m
data_Ta2BiI
_space_group_name_H-M_alt 'P 1'
_space_group_IT_number 1
_cell_length_a 6.970
_cell_length_b 6.970
_cell_length_c 6.970
_cell_angle_alpha 90.00
_cell_angle_beta 90.00
_cell_angle_gamma 90.00
loop_
_space_group_symop_operation_xyz
'x,y,z'
loop_
_atom_site_label
_atom_site_fract_x
_atom_site_fract_y
_atom_site_fract_z
_atom_site_occupancy
Ta1 0.250 0.250 0.250 1
Ta2 0.250 0.250 0.750 1
Ta3 0.250 0.750 0.250 1
Ta4 0.250 0.750 0.750 1
Ta5 0.750 0.250 0.250 1
Ta6 0.750 0.250 0.750 1
Ta7 0.750 0.750 0.250 1
Ta8 0.750 0.750 0.750 1
Bi1 0.000 0.000 0.000 1
Bi2 0.000 0.500 0.500 1
Bi3 0.500 0.000 0.500 1
Bi4 0.500 0.500 0.000 1
I1 0.000 0.000 0.500 1
I2 0.000 0.500 0.000 1
I3 0.500 0.000 0.000 1
I4 0.500 0.500 0.500 1

***

Which one sits at the top of the stability order? version B does.

***

Version A
# TbBiI | Alexandria via LeMat-Bulk | PBE | optimized geometry
# - crystal system = monoclinic
# - symmetry = P2/m
data_TbBiI
_space_group_name_H-M_alt 'P 1'
_space_group_IT_number 1
_cell_length_a 7.349
_cell_length_b 3.879
_cell_length_c 7.839
_cell_angle_alpha 90.00
_cell_angle_beta 99.24
_cell_angle_gamma 90.00
loop_
_space_group_symop_operation_xyz
'x,y,z'
loop_
_atom_site_label
_atom_site_fract_x
_atom_site_fract_y
_atom_site_fract_z
_atom_site_occupancy
Tb1 0.000 0.000 0.000 1
Tb2 0.000 0.500 0.500 1
Bi1 0.292 0.000 0.352 1
Bi2 0.708 0.000 0.648 1
I1 0.262 0.500 0.854 1
I2 0.738 0.500 0.146 1

***

Version B
# TbBiI | Alexandria via LeMat-Bulk | PBE | optimized geometry
# - crystal system = tetragonal
# - symmetry = P4/nmm
data_TbBiI
_space_group_name_H-M_alt 'P 1'
_space_group_IT_number 1
_cell_length_a 3.947
_cell_length_b 3.947
_cell_length_c 12.798
_cell_angle_alpha 90.00
_cell_angle_beta 90.00
_cell_angle_gamma 90.00
loop_
_space_group_symop_operation_xyz
'x,y,z'
loop_
_atom_site_label
_atom_site_fract_x
_atom_site_fract_y
_atom_site_fract_z
_atom_site_occupancy
Tb1 0.250 0.250 0.209 1
Tb2 0.750 0.750 0.791 1
Bi1 0.250 0.250 0.929 1
Bi2 0.750 0.750 0.071 1
I1 0.250 0.250 0.644 1
I2 0.750 0.750 0.356 1

***

Which one sits at the top of the stability order? version B does.

***

Version A
# Tc2BiI | Alexandria via LeMat-Bulk | PBE | optimized geometry
# - crystal system = tetragonal
# - symmetry = I-42d
data_Tc2BiI
_space_group_name_H-M_alt 'P 1'
_space_group_IT_number 1
_cell_length_a 6.163
_cell_length_b 6.163
_cell_length_c 11.673
_cell_angle_alpha 90.00
_cell_angle_beta 90.00
_cell_angle_gamma 90.00
loop_
_space_group_symop_operation_xyz
'x,y,z'
loop_
_atom_site_label
_atom_site_fract_x
_atom_site_fract_y
_atom_site_fract_z
_atom_site_occupancy
Tc1 0.233 0.250 0.125 1
Tc2 0.250 0.733 0.375 1
Tc3 0.250 0.767 0.875 1
Tc4 0.267 0.250 0.625 1
Tc5 0.733 0.750 0.625 1
Tc6 0.750 0.233 0.875 1
Tc7 0.750 0.267 0.375 1
Tc8 0.767 0.750 0.125 1
Bi1 0.000 0.000 0.500 1
Bi2 0.000 0.500 0.750 1
Bi3 0.500 0.000 0.250 1
Bi4 0.500 0.500 0.000 1
I1 0.000 0.000 0.000 1
I2 0.000 0.500 0.250 1
I3 0.500 0.000 0.750 1
I4 0.500 0.500 0.500 1

***

Version B
# Tc2BiI | Alexandria via LeMat-Bulk | PBE | optimized geometry
# - crystal system = cubic
# - symmetry = Fm-3m
data_Tc2BiI
_space_group_name_H-M_alt 'P 1'
_space_group_IT_number 1
_cell_length_a 6.751
_cell_length_b 6.751
_cell_length_c 6.751
_cell_angle_alpha 90.00
_cell_angle_beta 90.00
_cell_angle_gamma 90.00
loop_
_space_group_symop_operation_xyz
'x,y,z'
loop_
_atom_site_label
_atom_site_fract_x
_atom_site_fract_y
_atom_site_fract_z
_atom_site_occupancy
Tc1 0.250 0.250 0.250 1
Tc2 0.250 0.250 0.750 1
Tc3 0.250 0.750 0.250 1
Tc4 0.250 0.750 0.750 1
Tc5 0.750 0.250 0.250 1
Tc6 0.750 0.250 0.750 1
Tc7 0.750 0.750 0.250 1
Tc8 0.750 0.750 0.750 1
Bi1 0.000 0.000 0.000 1
Bi2 0.000 0.500 0.500 1
Bi3 0.500 0.000 0.500 1
Bi4 0.500 0.500 0.000 1
I1 0.000 0.000 0.500 1
I2 0.000 0.500 0.000 1
I3 0.500 0.000 0.000 1
I4 0.500 0.500 0.500 1

***

Which one sits at the top of the stability order? version B does.

***

Version A
# Bi2TeI2 | Alexandria via LeMat-Bulk | PBE | optimized geometry
# - crystal system = tetragonal
# - symmetry = I4/mmm
data_Bi2TeI2
_space_group_name_H-M_alt 'P 1'
_space_group_IT_number 1
_cell_length_a 5.055
_cell_length_b 5.055
_cell_length_c 14.664
_cell_angle_alpha 90.00
_cell_angle_beta 90.00
_cell_angle_gamma 90.00
loop_
_space_group_symop_operation_xyz
'x,y,z'
loop_
_atom_site_label
_atom_site_fract_x
_atom_site_fract_y
_atom_site_fract_z
_atom_site_occupancy
Bi1 0.000 0.000 0.104 1
Bi2 0.000 0.000 0.896 1
Bi3 0.500 0.500 0.396 1
Bi4 0.500 0.500 0.604 1
Te1 0.000 0.000 0.500 1
Te2 0.500 0.500 0.000 1
I1 0.000 0.500 0.250 1
I2 0.000 0.500 0.750 1
I3 0.500 0.000 0.250 1
I4 0.500 0.000 0.750 1

***

Version B
# Bi2TeI2 | Alexandria via LeMat-Bulk | PBE | optimized geometry
# - crystal system = tetragonal
# - symmetry = I4/mmm
data_Bi2TeI2
_space_group_name_H-M_alt 'P 1'
_space_group_IT_number 1
_cell_length_a 4.502
_cell_length_b 4.502
_cell_length_c 18.739
_cell_angle_alpha 90.00
_cell_angle_beta 90.00
_cell_angle_gamma 90.00
loop_
_space_group_symop_operation_xyz
'x,y,z'
loop_
_atom_site_label
_atom_site_fract_x
_atom_site_fract_y
_atom_site_fract_z
_atom_site_occupancy
Bi1 0.000 0.500 0.250 1
Bi2 0.000 0.500 0.750 1
Bi3 0.500 0.000 0.250 1
Bi4 0.500 0.000 0.750 1
Te1 0.000 0.000 0.000 1
Te2 0.500 0.500 0.500 1
I1 0.000 0.000 0.393 1
I2 0.000 0.000 0.607 1
I3 0.500 0.500 0.107 1
I4 0.500 0.500 0.893 1

***

Which one sits at the top of the stability order? version A does.